Rb2MnPdF6 (GGA+U, relaxed); space group = Fm-3m, No. 225; V = 162.4 Å³ per cell; calculated total energy = -4.898 eV/atom
1.0
6.1245 0.0000 0.0000
0.0000 6.1245 0.0000
3.0622 3.0622 4.3291
Mn Rb Pd F
1 2 1 6
Direct
0.5000 0.5000 0.0000
0.7500 0.2500 0.5000
0.2500 0.7500 0.5000
0.0000 0.0000 0.0000
0.2579 0.2579 0.4843
0.7421 0.7421 0.5157
0.2578 0.2578 0.0000
0.7422 0.7422 0.0000
0.7422 0.2578 0.0000
0.2578 0.7422 0.0000